# Ac2Tb2Y7, optimized geometry, DFT PBE
# VASP energy, eV per atom: -5.519
# Relative energy among the computed polymorphs, meV per atom: 3
# DOS at the Fermi energy, states/eV/cell: 35.2
data_Ac2Tb2Y7
_chemical_formula_sum 'Ac4 Tb4 Y14'
_cell_length_a 11.6500
_cell_length_b 11.7311
_cell_length_c 6.1983
_cell_angle_alpha 90.00
_cell_angle_beta 113.92
_cell_angle_gamma 90.00
_space_group_name_H-M_alt 'C 1 2/m 1'
_space_group_IT_number 12
loop_
_space_group_symop_operation_xyz
'x,y,z'
'-x,-y,-z'
'-x,y,-z'
'x,-y,z'
'x+1/2,y+1/2,z'
'-x+1/2,-y+1/2,-z'
'-x+1/2,y+1/2,-z'
'x+1/2,-y+1/2,z'
loop_
_atom_site_label
_atom_site_type_symbol
_atom_site_fract_x
_atom_site_fract_y
_atom_site_fract_z
_atom_site_occupancy
Ac1 Ac 0.0000 0.2131 0.0000 1
Tb1 Tb 0.0954 0.5000 0.3142 1
Y1 Y 0.0000 0.0000 0.5000 1
Y2 Y 0.1723 0.2331 0.6636 1
Y3 Y 0.2462 0.0000 0.0843 1

# YTh2Sc8, optimized geometry, DFT PBE
# VASP energy, eV per atom: -6.361
# Relative energy among the computed polymorphs, meV per atom: 0
# DOS at the Fermi energy, states/eV/cell: 33.9
data_YTh2Sc8
_chemical_formula_sum 'Y2 Th4 Sc16'
_cell_length_a 18.0735
_cell_length_b 6.5760
_cell_length_c 5.1547
_cell_angle_alpha 90.00
_cell_angle_beta 92.89
_cell_angle_gamma 90.00
_space_group_name_H-M_alt 'C 1 2/m 1'
_space_group_IT_number 12
loop_
_space_group_symop_operation_xyz
'x,y,z'
'-x,-y,-z'
'-x,y,-z'
'x,-y,z'
'x+1/2,y+1/2,z'
'-x+1/2,-y+1/2,-z'
'-x+1/2,y+1/2,-z'
'x+1/2,-y+1/2,z'
loop_
_atom_site_label
_atom_site_type_symbol
_atom_site_fract_x
_atom_site_fract_y
_atom_site_fract_z
_atom_site_occupancy
Y1 Y 0.0000 0.0000 0.0000 1
Th1 Th 0.2178 0.5000 0.2551 1
Sc1 Sc 0.0458 0.5000 0.2350 1
Sc2 Sc 0.1274 0.2688 0.7264 1
Sc3 Sc 0.1790 0.0000 0.2295 1

# MgVOsRu, optimized geometry, DFT PBE
# VASP energy, eV per atom: -7.915
# DOS at the Fermi energy, states/eV/cell: 9.2
data_MgVOsRu
_chemical_formula_sum 'Mg4 V4 Os4 Ru4'
_cell_length_a 6.0967
_cell_length_b 6.0967
_cell_length_c 6.0967
_cell_angle_alpha 90.00
_cell_angle_beta 90.00
_cell_angle_gamma 90.00
_space_group_name_H-M_alt 'F -4 3 m'
_space_group_IT_number 216
_space_group_name_Hall 'F -4 2 3'
loop_
_atom_site_label
_atom_site_type_symbol
_atom_site_fract_x
_atom_site_fract_y
_atom_site_fract_z
_atom_site_occupancy
Mg1 Mg 0.0000 0.0000 0.0000 1
V1 V 0.0000 0.0000 0.5000 1
Os1 Os 0.2500 0.2500 0.2500 1
Ru1 Ru 0.2500 0.2500 0.7500 1

# DyTm2Pd, optimized geometry, DFT PBE
# VASP energy, eV per atom: -5.155
# Relative energy among the computed polymorphs, meV per atom: 21
# DOS at the Fermi energy, states/eV/cell: 9.9
data_DyTm2Pd
_chemical_formula_sum 'Dy2 Tm4 Pd2'
_cell_length_a 3.7235
_cell_length_b 9.1863
_cell_length_c 6.3993
_cell_angle_alpha 90.00
_cell_angle_beta 106.87
_cell_angle_gamma 90.00
_space_group_name_H-M_alt 'P 1 21/m 1'
_space_group_IT_number 11
loop_
_space_group_symop_operation_xyz
'x,y,z'
'-x,-y,-z'
'-x,y+1/2,-z'
'x,-y+1/2,z'
loop_
_atom_site_label
_atom_site_type_symbol
_atom_site_fract_x
_atom_site_fract_y
_atom_site_fract_z
_atom_site_occupancy
Dy1 Dy 0.0597 0.2500 0.1203 1
Tm1 Tm 0.3649 0.0598 0.7288 1
Pd1 Pd 0.2397 0.7500 0.4804 1

# LaAg4, optimized geometry, DFT PBE
# VASP energy, eV per atom: -2.239
# DOS at the Fermi energy, states/eV/cell: 1.7
data_LaAg4
_chemical_formula_sum 'La1 Ag4'
_cell_length_a 5.6751
_cell_length_b 5.6751
_cell_length_c 5.6751
_cell_angle_alpha 90.00
_cell_angle_beta 90.00
_cell_angle_gamma 90.00
_space_group_name_H-M_alt 'P m -3 m'
_space_group_IT_number 221
_space_group_name_Hall '-P 4 2 3'
loop_
_atom_site_label
_atom_site_type_symbol
_atom_site_fract_x
_atom_site_fract_y
_atom_site_fract_z
_atom_site_occupancy
La1 La 0.0000 0.0000 0.0000 1
Ag1 Ag 0.0000 0.0000 0.5000 1
Ag2 Ag 0.5000 0.5000 0.5000 1

# K2NaSnAu, optimized geometry, DFT PBE
# VASP energy, eV per atom: -2.255
# DOS at the Fermi energy, states/eV/cell: 2.4
data_K2NaSnAu
_chemical_formula_sum 'K2 Na1 Sn1 Au1'
_cell_length_a 6.4188
_cell_length_b 6.4188
_cell_length_c 5.1909
_cell_angle_alpha 90.00
_cell_angle_beta 90.00
_cell_angle_gamma 90.00
_space_group_name_H-M_alt 'P 4/m m m'
_space_group_IT_number 123
_space_group_name_Hall '-P 4 2'
loop_
_atom_site_label
_atom_site_type_symbol
_atom_site_fract_x
_atom_site_fract_y
_atom_site_fract_z
_atom_site_occupancy
K1 K 0.0000 0.5000 0.0000 1
Na1 Na 0.0000 0.0000 0.5000 1
Sn1 Sn 0.5000 0.5000 0.5000 1
Au1 Au 0.5000 0.5000 0.0000 1

# Tm2Sc3Hg8, optimized geometry, DFT PBE
# VASP energy, eV per atom: -2.612
# DOS at the Fermi energy, states/eV/cell: 17.2
data_Tm2Sc3Hg8
_chemical_formula_sum 'Tm4 Sc6 Hg16'
_cell_length_a 12.2779
_cell_length_b 10.2611
_cell_length_c 5.1228
_cell_angle_alpha 90.00
_cell_angle_beta 104.99
_cell_angle_gamma 90.00
_space_group_name_H-M_alt 'C 1 2/m 1'
_space_group_IT_number 12
loop_
_space_group_symop_operation_xyz
'x,y,z'
'-x,-y,-z'
'-x,y,-z'
'x,-y,z'
'x+1/2,y+1/2,z'
'-x+1/2,-y+1/2,-z'
'-x+1/2,y+1/2,-z'
'x+1/2,-y+1/2,z'
loop_
_atom_site_label
_atom_site_type_symbol
_atom_site_fract_x
_atom_site_fract_y
_atom_site_fract_z
_atom_site_occupancy
Tm1 Tm 0.2065 0.0000 0.3610 1
Sc1 Sc 0.0000 0.2606 0.0000 1
Sc2 Sc 0.0000 0.5000 0.5000 1
Hg1 Hg 0.0706 0.0000 0.7896 1
Hg2 Hg 0.1464 0.5000 0.0635 1
Hg3 Hg 0.1479 0.2596 0.6230 1

# ReSi2Pt, optimized geometry, DFT PBE
# Uncorrected formation energy, eV per atom: -0.2883
# VASP energy, eV per atom: -7.622
# Relative energy among the computed polymorphs, meV per atom: 63
# DOS at the Fermi energy, states/eV/cell: 1.8
data_ReSi2Pt
_chemical_formula_sum 'Re1 Si2 Pt1'
_cell_length_a 2.9060
_cell_length_b 4.5964
_cell_length_c 4.2368
_cell_angle_alpha 90.00
_cell_angle_beta 90.00
_cell_angle_gamma 90.00
_space_group_name_H-M_alt 'P m m 2'
_space_group_IT_number 25
loop_
_space_group_symop_operation_xyz
'x,y,z'
'-x,-y,z'
'-x,y,z'
'x,-y,z'
loop_
_atom_site_label
_atom_site_type_symbol
_atom_site_fract_x
_atom_site_fract_y
_atom_site_fract_z
_atom_site_occupancy
Re1 Re 0.0000 0.0000 0.0000 1
Si1 Si 0.0000 0.5000 0.7334 1
Si2 Si 0.5000 0.0000 0.5067 1
Pt1 Pt 0.5000 0.5000 0.2455 1

# Pm4Nd3Cd2, optimized geometry, DFT PBE
# VASP energy, eV per atom: -3.977
# DOS at the Fermi energy, states/eV/cell: 22.1
data_Pm4Nd3Cd2
_chemical_formula_sum 'Pm8 Nd6 Cd4'
_cell_length_a 15.2147
_cell_length_b 5.0408
_cell_length_c 7.8729
_cell_angle_alpha 90.00
_cell_angle_beta 108.96
_cell_angle_gamma 90.00
_space_group_name_H-M_alt 'C 1 2/m 1'
_space_group_IT_number 12
loop_
_space_group_symop_operation_xyz
'x,y,z'
'-x,-y,-z'
'-x,y,-z'
'x,-y,z'
'x+1/2,y+1/2,z'
'-x+1/2,-y+1/2,-z'
'-x+1/2,y+1/2,-z'
'x+1/2,-y+1/2,z'
loop_
_atom_site_label
_atom_site_type_symbol
_atom_site_fract_x
_atom_site_fract_y
_atom_site_fract_z
_atom_site_occupancy
Pm1 Pm 0.0556 0.0000 0.3314 1
Pm2 Pm 0.2223 0.5000 0.3135 1
Nd1 Nd 0.0000 0.5000 0.0000 1
Nd2 Nd 0.1152 0.5000 0.6752 1
Cd1 Cd 0.1641 0.0000 0.9994 1

# TlZnSnAu, optimized geometry, DFT PBE
# VASP energy, eV per atom: -2.769
# DOS at the Fermi energy, states/eV/cell: 3.9
data_TlZnSnAu
_chemical_formula_sum 'Tl2 Zn2 Sn2 Au2'
_cell_length_a 7.7277
_cell_length_b 4.4854
_cell_length_c 6.3111
_cell_angle_alpha 90.00
_cell_angle_beta 113.08
_cell_angle_gamma 90.00
_space_group_name_H-M_alt 'C 1 m 1'
_space_group_IT_number 8
loop_
_space_group_symop_operation_xyz
'x,y,z'
'x,-y,z'
'x+1/2,y+1/2,z'
'x+1/2,-y+1/2,z'
loop_
_atom_site_label
_atom_site_type_symbol
_atom_site_fract_x
_atom_site_fract_y
_atom_site_fract_z
_atom_site_occupancy
Tl1 Tl 0.0000 0.0000 0.0000 1
Zn1 Zn 0.0633 0.5000 0.6959 1
Sn1 Sn 0.2932 0.5000 0.3830 1
Au1 Au 0.1955 0.0000 0.5916 1

# Pm5RuPb2, optimized geometry, DFT PBE
# VASP energy, eV per atom: -5.281
# DOS at the Fermi energy, states/eV/cell: 16.4
data_Pm5RuPb2
_chemical_formula_sum 'Pm10 Ru2 Pb4'
_cell_length_a 7.4587
_cell_length_b 7.4587
_cell_length_c 8.7471
_cell_angle_alpha 90.00
_cell_angle_beta 90.00
_cell_angle_gamma 90.00
_space_group_name_H-M_alt 'I 4 m m'
_space_group_IT_number 107
_space_group_name_Hall 'I 4 -2'
loop_
_atom_site_label
_atom_site_type_symbol
_atom_site_fract_x
_atom_site_fract_y
_atom_site_fract_z
_atom_site_occupancy
Pm1 Pm 0.0000 0.0000 0.0000 1
Pm2 Pm 0.2468 0.2468 0.2675 1
Ru1 Ru 0.0000 0.0000 0.6775 1
Pb1 Pb 0.0000 0.5000 0.0227 1

# YMgHg3, optimized geometry, DFT PBE
# VASP energy, eV per atom: -1.387
# Relative energy among the computed polymorphs, meV per atom: 592
# DOS at the Fermi energy, states/eV/cell: 6.9
data_YMgHg3
_chemical_formula_sum 'Y1 Mg1 Hg3'
_cell_length_a 5.8121
_cell_length_b 5.8121
_cell_length_c 5.8121
_cell_angle_alpha 90.00
_cell_angle_beta 90.00
_cell_angle_gamma 90.00
_space_group_name_H-M_alt 'P m -3 m'
_space_group_IT_number 221
_space_group_name_Hall '-P 4 2 3'
loop_
_atom_site_label
_atom_site_type_symbol
_atom_site_fract_x
_atom_site_fract_y
_atom_site_fract_z
_atom_site_occupancy
Y1 Y 0.0000 0.0000 0.0000 1
Mg1 Mg 0.5000 0.5000 0.5000 1
Hg1 Hg 0.0000 0.0000 0.5000 1

# Ag3RuBr6F2, optimized geometry, DFT PBE
# Uncorrected formation energy, eV per atom: -0.4734
# VASP energy, eV per atom: -3.108
# DOS at the Fermi energy, states/eV/cell: 21.1
data_Ag3RuBr6F2
_chemical_formula_sum 'Ag6 Ru2 Br12 F4'
_cell_length_a 13.8047
_cell_length_b 7.3512
_cell_length_c 6.2888
_cell_angle_alpha 90.00
_cell_angle_beta 110.92
_cell_angle_gamma 90.00
_space_group_name_H-M_alt 'C 1 2/m 1'
_space_group_IT_number 12
loop_
_space_group_symop_operation_xyz
'x,y,z'
'-x,-y,-z'
'-x,y,-z'
'x,-y,z'
'x+1/2,y+1/2,z'
'-x+1/2,-y+1/2,-z'
'-x+1/2,y+1/2,-z'
'x+1/2,-y+1/2,z'
loop_
_atom_site_label
_atom_site_type_symbol
_atom_site_fract_x
_atom_site_fract_y
_atom_site_fract_z
_atom_site_occupancy
Ag1 Ag 0.0000 0.0000 0.0000 1
Ag2 Ag 0.2500 0.2500 0.5000 1
Ru1 Ru 0.0000 0.5000 0.5000 1
Br1 Br 0.1104 0.2585 0.7500 1
Br2 Br 0.1099 0.5000 0.2569 1
F1 F 0.1480 0.0000 0.2769 1

# RbPa2RuO8, optimized geometry, DFT PBE
# Uncorrected formation energy, eV per atom: -2.2763
# VASP energy, eV per atom: -8.018
# DOS at the Fermi energy, states/eV/cell: 0.9
data_RbPa2RuO8
_chemical_formula_sum 'Rb1 Pa2 Ru1 O8'
_cell_length_a 5.4038
_cell_length_b 5.4038
_cell_length_c 7.8894
_cell_angle_alpha 90.00
_cell_angle_beta 90.00
_cell_angle_gamma 120.00
_space_group_name_H-M_alt 'P -3 m 1'
_space_group_IT_number 164
_space_group_name_Hall '-P 3 2"'
loop_
_atom_site_label
_atom_site_type_symbol
_atom_site_fract_x
_atom_site_fract_y
_atom_site_fract_z
_atom_site_occupancy
Rb1 Rb 0.0000 0.0000 0.0000 1
Pa1 Pa 0.3333 0.6667 0.3823 1
Ru1 Ru 0.0000 0.0000 0.5000 1
O1 O 0.1767 0.3533 0.6286 1
O2 O 0.3333 0.6667 0.1455 1

# TiFe3Pb, optimized geometry, DFT PBE
# VASP energy, eV per atom: -6.405
# Relative energy among the computed polymorphs, meV per atom: 0
# DOS at the Fermi energy, states/eV/cell: 4.6
data_TiFe3Pb
_chemical_formula_sum 'Ti1 Fe3 Pb1'
_cell_length_a 4.4779
_cell_length_b 4.4779
_cell_length_c 4.4779
_cell_angle_alpha 90.00
_cell_angle_beta 90.00
_cell_angle_gamma 90.00
_space_group_name_H-M_alt 'P m -3 m'
_space_group_IT_number 221
_space_group_name_Hall '-P 4 2 3'
loop_
_atom_site_label
_atom_site_type_symbol
_atom_site_fract_x
_atom_site_fract_y
_atom_site_fract_z
_atom_site_occupancy
Ti1 Ti 0.0000 0.0000 0.0000 1
Fe1 Fe 0.0000 0.0000 0.5000 1
Pb1 Pb 0.5000 0.5000 0.5000 1

# Zr2AlOs, optimized geometry, DFT PBE
# VASP energy, eV per atom: -8.353
# DOS at the Fermi energy, states/eV/cell: 7.0
data_Zr2AlOs
_chemical_formula_sum 'Zr4 Al2 Os2'
_cell_length_a 4.4800
_cell_length_b 4.4800
_cell_length_c 7.3746
_cell_angle_alpha 90.00
_cell_angle_beta 90.00
_cell_angle_gamma 90.00
_space_group_name_H-M_alt 'I 4/m m m'
_space_group_IT_number 139
_space_group_name_Hall '-I 4 2'
loop_
_atom_site_label
_atom_site_type_symbol
_atom_site_fract_x
_atom_site_fract_y
_atom_site_fract_z
_atom_site_occupancy
Zr1 Zr 0.0000 0.5000 0.2500 1
Al1 Al 0.0000 0.0000 0.0000 1
Os1 Os 0.0000 0.0000 0.5000 1

# SnHg2Bi2Pb4, optimized geometry, DFT PBE
# VASP energy, eV per atom: -2.984
# DOS at the Fermi energy, states/eV/cell: 8.3
data_SnHg2Bi2Pb4
_chemical_formula_sum 'Sn2 Hg4 Bi4 Pb8'
_cell_length_a 14.2281
_cell_length_b 5.2955
_cell_length_c 7.5834
_cell_angle_alpha 90.00
_cell_angle_beta 108.84
_cell_angle_gamma 90.00
_space_group_name_H-M_alt 'C 1 2/m 1'
_space_group_IT_number 12
loop_
_space_group_symop_operation_xyz
'x,y,z'
'-x,-y,-z'
'-x,y,-z'
'x,-y,z'
'x+1/2,y+1/2,z'
'-x+1/2,-y+1/2,-z'
'-x+1/2,y+1/2,-z'
'x+1/2,-y+1/2,z'
loop_
_atom_site_label
_atom_site_type_symbol
_atom_site_fract_x
_atom_site_fract_y
_atom_site_fract_z
_atom_site_occupancy
Sn1 Sn 0.0000 0.0000 0.0000 1
Hg1 Hg 0.1694 0.5000 0.0061 1
Bi1 Bi 0.1133 0.0000 0.6638 1
Pb1 Pb 0.0470 0.5000 0.3144 1
Pb2 Pb 0.2269 0.0000 0.3282 1

# CoTeAu2, optimized geometry, DFT PBE
# Uncorrected formation energy, eV per atom: 0.4246
# VASP energy, eV per atom: -3.776
# DOS at the Fermi energy, states/eV/cell: 27.4
data_CoTeAu2
_chemical_formula_sum 'Co4 Te4 Au8'
_cell_length_a 6.6608
_cell_length_b 6.6608
_cell_length_c 6.6608
_cell_angle_alpha 90.00
_cell_angle_beta 90.00
_cell_angle_gamma 90.00
_space_group_name_H-M_alt 'F -4 3 m'
_space_group_IT_number 216
_space_group_name_Hall 'F -4 2 3'
loop_
_atom_site_label
_atom_site_type_symbol
_atom_site_fract_x
_atom_site_fract_y
_atom_site_fract_z
_atom_site_occupancy
Co1 Co 0.0000 0.0000 0.0000 1
Te1 Te 0.2500 0.2500 0.7500 1
Au1 Au 0.0000 0.0000 0.5000 1
Au2 Au 0.2500 0.2500 0.2500 1

# Zr2TaIr2, optimized geometry, DFT PBE
# VASP energy, eV per atom: -9.583
# Relative energy among the computed polymorphs, meV per atom: 337
# DOS at the Fermi energy, states/eV/cell: 6.1
data_Zr2TaIr2
_chemical_formula_sum 'Zr4 Ta2 Ir4'
_cell_length_a 7.8895
_cell_length_b 7.8895
_cell_length_c 3.0077
_cell_angle_alpha 90.00
_cell_angle_beta 90.00
_cell_angle_gamma 90.00
_space_group_name_H-M_alt 'P 4/m b m'
_space_group_IT_number 127
_space_group_name_Hall '-P 4 2ab'
loop_
_atom_site_label
_atom_site_type_symbol
_atom_site_fract_x
_atom_site_fract_y
_atom_site_fract_z
_atom_site_occupancy
Zr1 Zr 0.1491 0.3509 0.0000 1
Ta1 Ta 0.0000 0.0000 0.0000 1
Ir1 Ir 0.1522 0.6522 0.5000 1

# MgIn2Ru, optimized geometry, DFT PBE
# VASP energy, eV per atom: -4.028
# DOS at the Fermi energy, states/eV/cell: 2.5
data_MgIn2Ru
_chemical_formula_sum 'Mg1 In2 Ru1'
_cell_length_a 4.2269
_cell_length_b 4.2269
_cell_length_c 4.1745
_cell_angle_alpha 90.00
_cell_angle_beta 90.00
_cell_angle_gamma 90.00
_space_group_name_H-M_alt 'P 4/m m m'
_space_group_IT_number 123
_space_group_name_Hall '-P 4 2'
loop_
_atom_site_label
_atom_site_type_symbol
_atom_site_fract_x
_atom_site_fract_y
_atom_site_fract_z
_atom_site_occupancy
Mg1 Mg 0.0000 0.0000 0.0000 1
In1 In 0.0000 0.5000 0.5000 1
Ru1 Ru 0.5000 0.5000 0.0000 1